The following is a PBE+U calculation of crystalline Cs2MoCl5O at its relaxed geometry, from Alexandria via LeMat-Bulk.

Cell: 7.448 7.448 7.448 Å, 89.76 120.14 120.14°
Element x y z (fractional)
1 Cl 0.000 0.766 0.229
2 Cl 0.463 0.229 0.229
3 Mo 0.000 0.980 0.980
4 Cs 0.500 0.746 0.246
5 O 0.000 0.817 0.817
6 Cl 0.537 0.766 0.766
7 Cl 0.000 0.221 0.221
8 Cl 0.000 0.229 0.766
9 Cs 0.500 0.246 0.746

* D(E_F): 0.000 states/eV/cell
* size of the total moment: 0.93 μB/f.u.
* total energy: -4.103 eV per atom
* SG: I4mm (107)
* mass density: 3161 kg/m³